{
  "formula": "Na2BF",
  "functional": "PBE",
  "state": "relaxed",
  "lattice": [[-1.589, -3.908, 1.748], [-1.575, -0.111, 4.285], [-4.472, -0.503, 0.776]],
  "species": ["B", "Na", "Na", "F"],
  "fractional_positions": [[0.000, 0.000, 0.000], [0.250, 0.250, 0.250], [0.750, 0.750, 0.750], [0.500, 0.500, 0.500]],
  "space_group": "Fm-3m",
  "relative_energy_mev_per_atom": 294,
  "e_tot_ev_per_atom": -2.762
}



{
  "formula": "NaBF5",
  "functional": "PBE",
  "state": "relaxed",
  "lattice": [[5.174, 0.070, 0.063], [1.708, 4.885, 0.063], [2.544, 1.832, 6.735]],
  "species": ["F", "F", "F", "F", "F", "F", "F", "F", "F", "F", "B", "B", "Na", "Na"],
  "fractional_positions": [[0.182, 0.210, 0.901], [0.267, 0.755, 0.030], [0.755, 0.267, 0.530], [0.733, 0.245, 0.970], [0.245, 0.733, 0.470], [0.210, 0.182, 0.401], [0.790, 0.818, 0.599], [0.818, 0.790, 0.099], [0.937, 0.063, 0.250], [0.063, 0.937, 0.750], [0.000, 0.000, 0.500], [0.000, 0.000, 0.000], [0.542, 0.458, 0.250], [0.458, 0.542, 0.750]],
  "space_group": "C2/c",
  "e_tot_ev_per_atom": -4.536
}



{
  "formula": "Na3B2F8",
  "functional": "PBE",
  "state": "relaxed",
  "lattice": [[-1.817, -1.113, 4.933], [3.461, -0.595, 4.067], [0.052, 7.060, 4.538]],
  "species": ["F", "F", "F", "F", "F", "F", "F", "F", "Na", "Na", "Na", "B", "B"],
  "fractional_positions": [[0.691, 0.259, 0.792], [0.741, 0.741, 0.208], [0.259, 0.691, 0.792], [0.741, 0.309, 0.208], [0.309, 0.741, 0.208], [0.259, 0.259, 0.792], [0.322, 0.322, 0.033], [0.678, 0.678, 0.967], [0.778, 0.778, 0.667], [0.222, 0.222, 0.333], [0.000, 0.000, 0.000], [0.383, 0.383, 0.851], [0.617, 0.617, 0.149]],
  "space_group": "R-3m",
  "e_tot_ev_per_atom": -5.124
}



{
  "formula": "NaBF3",
  "functional": "PBE",
  "state": "relaxed",
  "lattice": [[-2.072, 3.225, 3.190], [-4.751, -5.437, 2.409], [5.127, -2.075, 5.428]],
  "species": ["F", "F", "F", "F", "F", "F", "F", "F", "F", "F", "F", "F", "B", "B", "B", "B", "Na", "Na", "Na", "Na"],
  "fractional_positions": [[0.865, 0.154, 0.901], [0.265, 0.125, 0.750], [0.365, 0.346, 0.401], [0.635, 0.654, 0.901], [0.865, 0.154, 0.599], [0.765, 0.375, 0.250], [0.365, 0.346, 0.099], [0.235, 0.625, 0.750], [0.735, 0.875, 0.250], [0.135, 0.846, 0.401], [0.635, 0.654, 0.599], [0.135, 0.846, 0.099], [0.994, 0.797, 0.250], [0.494, 0.703, 0.750], [0.506, 0.297, 0.250], [0.006, 0.203, 0.750], [0.500, 0.000, 0.500], [0.000, 0.500, 0.000], [0.000, 0.500, 0.500], [0.500, 0.000, 0.000]],
  "space_group": "Pnma",
  "relative_energy_mev_per_atom": 0,
  "e_tot_ev_per_atom": -4.986
}



{
  "formula": "Na2BF",
  "functional": "PBE",
  "state": "relaxed",
  "lattice": [[-4.411, -0.530, 4.630], [-0.543, -6.273, -1.236], [0.107, -4.095, 4.080]],
  "species": ["F", "F", "Na", "Na", "Na", "Na", "B", "B"],
  "fractional_positions": [[0.000, 0.000, 0.000], [0.750, 0.250, 0.500], [0.055, 0.625, 0.250], [0.875, 0.945, 0.750], [0.375, 0.305, 0.750], [0.695, 0.125, 0.250], [0.250, 0.750, 0.500], [0.500, 0.500, 0.000]],
  "space_group": "I-42d",
  "relative_energy_mev_per_atom": 0,
  "e_tot_ev_per_atom": -3.056
}



{
  "formula": "NaBF3",
  "functional": "PBE",
  "state": "relaxed",
  "lattice": [[-2.021, 3.382, 1.614], [-2.993, -0.352, -3.008], [-2.256, -2.562, 2.544]],
  "species": ["B", "F", "F", "F", "Na"],
  "fractional_positions": [[0.500, 0.500, 0.500], [0.500, 0.000, 0.000], [0.000, 0.000, 0.500], [0.000, 0.500, 0.000], [0.000, 0.000, 0.000]],
  "space_group": "Pm-3m",
  "relative_energy_mev_per_atom": 1911,
  "e_tot_ev_per_atom": -3.075
}



{
  "formula": "NaBF2",
  "functional": "PBE",
  "state": "relaxed",
  "lattice": [[0.000, 2.851, 2.851], [2.851, 0.000, 2.851], [2.851, 2.851, 0.000]],
  "species": ["F", "F", "Na", "B"],
  "fractional_positions": [[0.250, 0.250, 0.250], [0.750, 0.750, 0.750], [0.500, 0.500, 0.500], [0.000, 0.000, 0.000]],
  "space_group": "Fm-3m",
  "e_tot_ev_per_atom": -3.706
}



{
  "formula": "Na3BF6",
  "functional": "PBE",
  "state": "relaxed",
  "lattice": [[-4.779, -2.152, 1.830], [1.610, -6.325, -3.234], [2.964, -0.987, 6.580]],
  "species": ["F", "F", "F", "F", "F", "F", "F", "F", "F", "F", "F", "F", "Na", "Na", "Na", "Na", "Na", "Na", "B", "B"],
  "fractional_positions": [[0.697, 0.915, 0.085], [0.659, 0.294, 0.369], [0.316, 0.828, 0.172], [0.637, 0.616, 0.135], [0.816, 0.172, 0.828], [0.137, 0.135, 0.616], [0.659, 0.631, 0.706], [0.159, 0.369, 0.294], [0.159, 0.706, 0.631], [0.137, 0.384, 0.865], [0.197, 0.085, 0.915], [0.637, 0.865, 0.384], [0.469, 0.888, 0.686], [0.469, 0.314, 0.112], [0.879, 0.561, 0.439], [0.969, 0.112, 0.314], [0.379, 0.439, 0.561], [0.969, 0.686, 0.888], [0.064, 0.193, 0.807], [0.564, 0.807, 0.193]],
  "space_group": "Cmc2_1",
  "relative_energy_mev_per_atom": 14,
  "e_tot_ev_per_atom": -4.975
}